Entry 1:
Here is an optimized crystal structure of LiSiMo from Alexandria via LeMat-Bulk. Energies are from PBE. Values from VASP.

Output
Total moment ... 0.0 Bohr magnetons per cell
Formation energy (no corrections) ... 0.10 eV per atom
ΔE to the lowest computed polymorph ... 284 meV/atom

```
&SYSTEM
  ibrav = 0, nat = 3, ntyp = 3
/
ATOMIC_SPECIES
Li 6.94 Li.upf
Si 28.09 Si.upf
Mo 95.94 Mo.upf
CELL_PARAMETERS angstrom
-1.328 1.328 6.383
1.328 -1.328 6.383
1.328 1.328 -6.383
ATOMIC_POSITIONS angstrom
Li 0.000 0.000 0.000
Si 0.000 0.000 8.475
Mo 0.000 0.000 4.007
```

Entry 2:
Here is an optimized crystal structure of LiSc3Au4 from Alexandria via LeMat-Bulk. Energies are from PBE. Values from VASP.

Output
Total moment ... 0.0 Bohr magnetons per cell
Formation energy from the elements ... -0.74 eV per atom

```
&SYSTEM
  ibrav = 0, nat = 8, ntyp = 3
/
ATOMIC_SPECIES
Li 6.94 Li.upf
Sc 44.96 Sc.upf
Au 196.97 Au.upf
CELL_PARAMETERS angstrom
3.368 0.000 0.000
0.000 3.368 0.000
0.000 0.000 13.222
ATOMIC_POSITIONS angstrom
Li 0.000 0.000 0.000
Sc 0.000 0.000 3.139
Sc 0.000 0.000 6.611
Sc 0.000 0.000 10.082
Au 1.684 1.684 1.500
Au 1.684 1.684 4.903
Au 1.684 1.684 8.319
Au 1.684 1.684 11.721
```

Entry 3:
Here is an optimized crystal structure of KAg2GeI6 from Alexandria via LeMat-Bulk. Energies are from PBE. Values from VASP.

Output
Total moment ... 0.0 Bohr magnetons per cell
Formation energy (no corrections) ... -0.44 eV per atom

```
&SYSTEM
  ibrav = 0, nat = 20, ntyp = 4
/
ATOMIC_SPECIES
K 39.10 K.upf
Ag 107.87 Ag.upf
Ge 72.64 Ge.upf
I 126.90 I.upf
CELL_PARAMETERS angstrom
8.716 -6.748 0.000
8.716 6.748 0.000
-3.147 0.000 7.849
ATOMIC_POSITIONS angstrom
K 6.356 4.827 5.887
K 7.929 -4.827 1.962
Ag 2.791 0.478 5.803
Ag 4.364 -0.478 1.878
Ag 9.921 0.478 5.972
Ag 11.494 -0.478 2.047
Ge 7.929 3.909 1.962
Ge 6.356 -3.909 5.887
I -0.208 1.149 5.441
I 3.794 1.598 3.538
I 1.365 -1.149 1.516
I 4.331 2.383 7.598
I 8.380 2.383 4.176
I 2.221 -1.598 7.463
I 12.064 1.598 0.386
I 5.904 -2.383 3.673
I 9.954 -2.383 0.252
I 12.920 1.149 6.334
I 10.490 -1.598 4.311
I 14.493 -1.149 2.409
```

Entry 4:
Here is an optimized crystal structure of Ac2Ce3Rh2 from Alexandria via LeMat-Bulk. Energies are from PBE. Values from VASP.

Output
Total moment ... 0.0 Bohr magnetons per cell
Formation energy from the elements ... -0.41 eV per atom

```
&SYSTEM
  ibrav = 0, nat = 7, ntyp = 3
/
ATOMIC_SPECIES
Ac 227.00 Ac.upf
Ce 140.12 Ce.upf
Rh 102.91 Rh.upf
CELL_PARAMETERS angstrom
6.107 -2.088 0.000
6.107 2.088 0.000
-4.592 0.000 7.824
ATOMIC_POSITIONS angstrom
Ac 0.390 0.000 2.192
Ac 7.231 0.000 5.632
Ce 3.865 0.000 0.361
Ce 3.811 0.000 3.912
Ce 3.757 0.000 7.464
Rh -1.260 0.000 5.320
Rh 8.882 0.000 2.505
```

Entry 5:
Here is an optimized crystal structure of TeW2Cl from Alexandria via LeMat-Bulk. Energies are from PBE. Values from VASP.

Output
Total moment ... 0.0 Bohr magnetons per cell
Formation energy (no corrections) ... 1.19 eV per atom
ΔE to the lowest computed polymorph ... 1108 meV/atom

```
&SYSTEM
  ibrav = 0, nat = 4, ntyp = 3
/
ATOMIC_SPECIES
Te 127.60 Te.upf
W 183.84 W.upf
Cl 35.45 Cl.upf
CELL_PARAMETERS angstrom
1.531 -2.719 0.000
1.531 2.719 0.000
0.000 0.000 8.937
ATOMIC_POSITIONS angstrom
Te 0.000 0.000 0.000
W 1.531 0.000 2.248
W 1.531 0.000 6.689
Cl 0.000 0.000 4.468
```

Entry 6:
Here is an optimized crystal structure of Sb2H2Pt7Pb from Alexandria via LeMat-Bulk. Energies are from PBE. Values from VASP.

Output
Total moment ... 0.0 Bohr magnetons per cell

```
&SYSTEM
  ibrav = 0, nat = 12, ntyp = 4
/
ATOMIC_SPECIES
Sb 121.76 Sb.upf
H 1.01 H.upf
Pt 195.08 Pt.upf
Pb 207.20 Pb.upf
CELL_PARAMETERS angstrom
2.916 -2.866 0.000
2.916 2.866 0.000
-0.784 0.000 11.717
ATOMIC_POSITIONS angstrom
Sb 1.056 0.000 1.347
Sb 3.993 0.000 10.370
H 0.259 0.000 7.527
H 4.790 0.000 4.190
Pt -0.392 0.000 5.859
Pt 2.448 1.425 3.267
Pt 2.600 1.425 8.450
Pt 1.235 0.000 10.559
Pt 3.814 0.000 1.158
Pt 2.448 -1.425 3.267
Pt 2.600 -1.425 8.450
Pb 2.524 0.000 5.859
```

Entry 7:
Here is an optimized crystal structure of Sr2MgBe from Alexandria via LeMat-Bulk. Energies are from PBE. Values from VASP.

Output
Total moment ... 0.0 Bohr magnetons per cell
ΔE to the lowest computed polymorph ... 194 meV/atom
Formation energy from the elements ... 0.44 eV per atom

```
&SYSTEM
  ibrav = 0, nat = 4, ntyp = 3
/
ATOMIC_SPECIES
Sr 87.62 Sr.upf
Mg 24.30 Mg.upf
Be 9.01 Be.upf
CELL_PARAMETERS angstrom
2.141 1.236 9.305
-2.141 1.236 9.305
0.000 -2.473 9.305
ATOMIC_POSITIONS angstrom
Sr 0.000 0.000 6.576
Sr 0.000 0.000 21.339
Mg 0.000 0.000 0.000
Be 0.000 0.000 13.958
```

Entry 8:
Here is an optimized crystal structure of Cs4Ba3OsO8 from Alexandria via LeMat-Bulk. Energies are from PBE. Values from VASP.

Output
Total moment ... 2.0 Bohr magnetons per cell
Formation energy (no corrections) ... -1.60 eV per atom

```
&SYSTEM
  ibrav = 0, nat = 16, ntyp = 4
/
ATOMIC_SPECIES
Cs 132.91 Cs.upf
Ba 137.33 Ba.upf
Os 190.23 Os.upf
O 16.00 O.upf
CELL_PARAMETERS angstrom
3.851 2.224 6.855
-3.851 2.224 6.855
0.000 -4.447 6.855
ATOMIC_POSITIONS angstrom
Cs 0.000 0.000 0.000
Cs -1.926 -1.112 6.855
Cs -1.926 1.112 13.710
Cs 0.000 2.224 6.855
Ba -3.851 0.000 10.283
Ba -1.926 1.112 3.428
Ba 1.926 1.112 3.428
Os 0.000 0.000 10.283
O 0.000 0.000 4.778
O -1.439 -0.831 11.407
O 0.000 -1.662 9.158
O -1.439 0.831 9.158
O 1.439 -0.831 11.407
O 0.000 1.662 11.407
O 1.439 0.831 9.158
O 0.000 0.000 15.787
```

For each record above, in turn, the calculated DFT total energy values are -5.9523; -4.9971; -2.5122; -6.2304; -6.5299; -5.1950; -1.7307; -5.3578 eV/atom.